<A>
Dy2YCu4Si2Sn2 | PBE-GGA | optimized geometry

```
data_Dy2YCu4Si2Sn2
_chemical_formula_sum 'Dy2 Y1 Cu4 Si2 Sn2'
_cell_length_a 8.191
_cell_length_b 8.191
_cell_length_c 8.191
_cell_angle_alpha 149.40
_cell_angle_beta 132.30
_cell_angle_gamma 57.74
_symmetry_space_group_name_H-M 'P 1'
_symmetry_Int_Tables_number 1
loop_
_symmetry_equiv_pos_as_xyz
'x,y,z'
loop_
_atom_site_label
_atom_site_fract_x
_atom_site_fract_y
_atom_site_fract_z
Dy1 0.124 0.124 0.000
Dy2 0.876 0.876 0.000
Y1 0.500 0.000 0.500
Cu1 0.155 0.346 0.809
Cu2 0.463 0.654 0.809
Cu3 0.537 0.346 0.191
Cu4 0.845 0.654 0.191
Si1 0.182 0.500 0.682
Si2 0.818 0.500 0.318
Sn1 0.282 0.782 0.500
Sn2 0.718 0.218 0.500
```

=====

<B>
Dy2YCu4Si2Sn2 | PBE-GGA | optimized geometry

```
data_Dy2YCu4Si2Sn2
_chemical_formula_sum 'Dy2 Y1 Cu4 Si2 Sn2'
_cell_length_a 8.167
_cell_length_b 8.167
_cell_length_c 8.167
_cell_angle_alpha 149.96
_cell_angle_beta 130.39
_cell_angle_gamma 59.10
_symmetry_space_group_name_H-M 'P 1'
_symmetry_Int_Tables_number 1
loop_
_symmetry_equiv_pos_as_xyz
'x,y,z'
loop_
_atom_site_label
_atom_site_fract_x
_atom_site_fract_y
_atom_site_fract_z
Dy1 0.135 0.135 0.000
Dy2 0.865 0.865 0.000
Y1 0.500 0.000 0.500
Cu1 0.128 0.318 0.810
Cu2 0.492 0.682 0.810
Cu3 0.508 0.318 0.190
Cu4 0.872 0.682 0.190
Si1 0.284 0.784 0.500
Si2 0.716 0.216 0.500
Sn1 0.203 0.500 0.703
Sn2 0.797 0.500 0.297
```

=====

Least stable = <B>

=====

<A>
GdErCu2 | PBE-GGA | optimized geometry

```
data_GdErCu2
_chemical_formula_sum 'Gd1 Er1 Cu2'
_cell_length_a 4.490
_cell_length_b 5.471
_cell_length_c 5.471
_cell_angle_alpha 39.35
_cell_angle_beta 90.00
_cell_angle_gamma 90.00
_symmetry_space_group_name_H-M 'P 1'
_symmetry_Int_Tables_number 1
loop_
_symmetry_equiv_pos_as_xyz
'x,y,z'
loop_
_atom_site_label
_atom_site_fract_x
_atom_site_fract_y
_atom_site_fract_z
Gd1 0.000 0.000 0.000
Er1 0.500 0.721 0.721
Cu1 0.000 0.286 0.286
Cu2 0.500 0.431 0.431
```

=====

<B>
GdErCu2 | PBE-GGA | optimized geometry

```
data_GdErCu2
_chemical_formula_sum 'Gd2 Er2 Cu4'
_cell_length_a 4.436
_cell_length_b 5.393
_cell_length_c 7.094
_cell_angle_alpha 90.00
_cell_angle_beta 90.00
_cell_angle_gamma 90.00
_symmetry_space_group_name_H-M 'P 1'
_symmetry_Int_Tables_number 1
loop_
_symmetry_equiv_pos_as_xyz
'x,y,z'
loop_
_atom_site_label
_atom_site_fract_x
_atom_site_fract_y
_atom_site_fract_z
Gd1 0.000 0.119 0.000
Gd2 0.000 0.881 0.500
Er1 0.500 0.382 0.638
Er2 0.500 0.618 0.138
Cu1 0.000 0.377 0.356
Cu2 0.000 0.623 0.856
Cu3 0.500 0.128 0.285
Cu4 0.500 0.872 0.785
```

=====

Least stable = <A>

=====

<A>
Gd2ErCu4Sn2Ge2 | PBE-GGA | optimized geometry

```
data_Gd2ErCu4Sn2Ge2
_chemical_formula_sum 'Gd2 Er1 Cu4 Sn2 Ge2'
_cell_length_a 8.276
_cell_length_b 8.276
_cell_length_c 8.276
_cell_angle_alpha 149.72
_cell_angle_beta 130.72
_cell_angle_gamma 58.94
_symmetry_space_group_name_H-M 'P 1'
_symmetry_Int_Tables_number 1
loop_
_symmetry_equiv_pos_as_xyz
'x,y,z'
loop_
_atom_site_label
_atom_site_fract_x
_atom_site_fract_y
_atom_site_fract_z
Gd1 0.135 0.135 0.000
Gd2 0.865 0.865 0.000
Er1 0.500 0.000 0.500
Cu1 0.135 0.324 0.812
Cu2 0.488 0.676 0.812
Cu3 0.512 0.324 0.188
Cu4 0.865 0.676 0.188
Sn1 0.204 0.500 0.704
Sn2 0.796 0.500 0.296
Ge1 0.285 0.785 0.500
Ge2 0.715 0.215 0.500
```

=====

<B>
Gd2ErCu4Sn2Ge2 | PBE-GGA | optimized geometry

```
data_Gd2ErCu4Sn2Ge2
_chemical_formula_sum 'Gd2 Er1 Cu4 Sn2 Ge2'
_cell_length_a 8.270
_cell_length_b 8.270
_cell_length_c 8.270
_cell_angle_alpha 149.36
_cell_angle_beta 132.40
_cell_angle_gamma 57.68
_symmetry_space_group_name_H-M 'P 1'
_symmetry_Int_Tables_number 1
loop_
_symmetry_equiv_pos_as_xyz
'x,y,z'
loop_
_atom_site_label
_atom_site_fract_x
_atom_site_fract_y
_atom_site_fract_z
Gd1 0.125 0.125 0.000
Gd2 0.875 0.875 0.000
Er1 0.500 0.000 0.500
Cu1 0.149 0.340 0.810
Cu2 0.470 0.660 0.810
Cu3 0.530 0.340 0.190
Cu4 0.851 0.660 0.190
Sn1 0.284 0.784 0.500
Sn2 0.716 0.216 0.500
Ge1 0.194 0.500 0.694
Ge2 0.806 0.500 0.306
```

=====

Least stable = <A>

=====

<A>
HoEr2Cu4Si2Ge2 | PBE-GGA | optimized geometry

```
data_HoEr2Cu4Si2Ge2
_chemical_formula_sum 'Ho1 Er2 Cu4 Si2 Ge2'
_cell_length_a 7.888
_cell_length_b 7.888
_cell_length_c 7.888
_cell_angle_alpha 149.47
_cell_angle_beta 130.72
_cell_angle_gamma 59.09
_symmetry_space_group_name_H-M 'P 1'
_symmetry_Int_Tables_number 1
loop_
_symmetry_equiv_pos_as_xyz
'x,y,z'
loop_
_atom_site_label
_atom_site_fract_x
_atom_site_fract_y
_atom_site_fract_z
Ho1 0.000 0.000 0.000
Er1 0.371 0.871 0.500
Er2 0.629 0.129 0.500
Cu1 0.027 0.336 0.691
Cu2 0.355 0.664 0.691
Cu3 0.645 0.336 0.309
Cu4 0.973 0.664 0.309
Si1 0.316 0.500 0.816
Si2 0.684 0.500 0.184
Ge1 0.217 0.217 0.000
Ge2 0.783 0.783 0.000
```

=====

<B>
HoEr2Cu4Si2Ge2 | PBE-GGA | optimized geometry

```
data_HoEr2Cu4Si2Ge2
_chemical_formula_sum 'Ho1 Er2 Cu4 Si2 Ge2'
_cell_length_a 7.892
_cell_length_b 7.892
_cell_length_c 7.892
_cell_angle_alpha 149.78
_cell_angle_beta 130.61
_cell_angle_gamma 59.00
_symmetry_space_group_name_H-M 'P 1'
_symmetry_Int_Tables_number 1
loop_
_symmetry_equiv_pos_as_xyz
'x,y,z'
loop_
_atom_site_label
_atom_site_fract_x
_atom_site_fract_y
_atom_site_fract_z
Ho1 0.000 0.000 0.000
Er1 0.371 0.871 0.500
Er2 0.629 0.129 0.500
Cu1 0.017 0.326 0.691
Cu2 0.366 0.674 0.691
Cu3 0.634 0.326 0.309
Cu4 0.983 0.674 0.309
Si1 0.217 0.217 0.000
Si2 0.783 0.783 0.000
Ge1 0.307 0.500 0.807
Ge2 0.693 0.500 0.193
```

=====

Least stable = <A>

=====

<A>
Ho2ErCu4Sn2Ge2 | PBE-GGA | optimized geometry

```
data_Ho2ErCu4Sn2Ge2
_chemical_formula_sum 'Ho2 Er1 Cu4 Sn2 Ge2'
_cell_length_a 8.245
_cell_length_b 8.245
_cell_length_c 8.245
_cell_angle_alpha 149.40
_cell_angle_beta 132.03
_cell_angle_gamma 57.98
_symmetry_space_group_name_H-M 'P 1'
_symmetry_Int_Tables_number 1
loop_
_symmetry_equiv_pos_as_xyz
'x,y,z'
loop_
_atom_site_label
_atom_site_fract_x
_atom_site_fract_y
_atom_site_fract_z
Ho1 0.124 0.124 0.000
Ho2 0.876 0.876 0.000
Er1 0.500 0.000 0.500
Cu1 0.146 0.338 0.808
Cu2 0.470 0.662 0.808
Cu3 0.530 0.338 0.192
Cu4 0.854 0.662 0.192
Sn1 0.283 0.783 0.500
Sn2 0.717 0.217 0.500
Ge1 0.193 0.500 0.693
Ge2 0.807 0.500 0.307
```

=====

<B>
Ho2ErCu4Sn2Ge2 | PBE-GGA | optimized geometry

```
data_Ho2ErCu4Sn2Ge2
_chemical_formula_sum 'Ho2 Er1 Cu4 Sn2 Ge2'
_cell_length_a 8.217
_cell_length_b 8.217
_cell_length_c 8.217
_cell_angle_alpha 149.78
_cell_angle_beta 130.27
_cell_angle_gamma 59.30
_symmetry_space_group_name_H-M 'P 1'
_symmetry_Int_Tables_number 1
loop_
_symmetry_equiv_pos_as_xyz
'x,y,z'
loop_
_atom_site_label
_atom_site_fract_x
_atom_site_fract_y
_atom_site_fract_z
Ho1 0.135 0.135 0.000
Ho2 0.865 0.865 0.000
Er1 0.500 0.000 0.500
Cu1 0.134 0.323 0.811
Cu2 0.489 0.677 0.811
Cu3 0.511 0.323 0.189
Cu4 0.866 0.677 0.189
Sn1 0.203 0.500 0.703
Sn2 0.797 0.500 0.297
Ge1 0.284 0.784 0.500
Ge2 0.716 0.216 0.500
```

=====

Least stable = <B>

=====

<A>
HoEr2Cu4Sn2Ge2 | PBE-GGA | optimized geometry

```
data_HoEr2Cu4Sn2Ge2
_chemical_formula_sum 'Ho1 Er2 Cu4 Sn2 Ge2'
_cell_length_a 8.231
_cell_length_b 8.231
_cell_length_c 8.231
_cell_angle_alpha 149.53
_cell_angle_beta 132.10
_cell_angle_gamma 57.84
_symmetry_space_group_name_H-M 'P 1'
_symmetry_Int_Tables_number 1
loop_
_symmetry_equiv_pos_as_xyz
'x,y,z'
loop_
_atom_site_label
_atom_site_fract_x
_atom_site_fract_y
_atom_site_fract_z
Ho1 0.000 0.000 0.000
Er1 0.375 0.875 0.500
Er2 0.625 0.125 0.500
Cu1 0.031 0.341 0.690
Cu2 0.350 0.659 0.690
Cu3 0.650 0.341 0.310
Cu4 0.969 0.659 0.310
Sn1 0.218 0.218 0.000
Sn2 0.782 0.782 0.000
Ge1 0.309 0.500 0.809
Ge2 0.691 0.500 0.191
```

=====

<B>
HoEr2Cu4Sn2Ge2 | PBE-GGA | optimized geometry

```
data_HoEr2Cu4Sn2Ge2
_chemical_formula_sum 'Ho1 Er2 Cu4 Sn2 Ge2'
_cell_length_a 8.205
_cell_length_b 8.205
_cell_length_c 8.205
_cell_angle_alpha 149.82
_cell_angle_beta 130.05
_cell_angle_gamma 59.48
_symmetry_space_group_name_H-M 'P 1'
_symmetry_Int_Tables_number 1
loop_
_symmetry_equiv_pos_as_xyz
'x,y,z'
loop_
_atom_site_label
_atom_site_fract_x
_atom_site_fract_y
_atom_site_fract_z
Ho1 0.000 0.000 0.000
Er1 0.365 0.865 0.500
Er2 0.635 0.135 0.500
Cu1 0.011 0.322 0.689
Cu2 0.367 0.678 0.689
Cu3 0.633 0.322 0.311
Cu4 0.989 0.678 0.311
Sn1 0.298 0.500 0.798
Sn2 0.702 0.500 0.202
Ge1 0.216 0.216 0.000
Ge2 0.784 0.784 0.000
```

=====

Least stable = <B>